Entry 1:
# Nd2Ho7 (GGA-PBE, relaxed)
data_Nd2Ho7
_cell_length_a 6.1635
_cell_length_b 6.1635
_cell_length_c 8.7052
_cell_angle_alpha 90.00
_cell_angle_beta 90.00
_cell_angle_gamma 120.00
_space_group_name_H-M_alt 'P -3 1 m'
_space_group_IT_number 162
_space_group_name_Hall '-P 3 2'
loop_
_atom_site_label
_atom_site_fract_x
_atom_site_fract_y
_atom_site_fract_z
Nd1 0.3333 0.6667 0.0000
Ho1 0.0000 0.0000 0.0000
Ho2 0.0000 0.3323 0.6637
# **Total DFT energy (no corrections)**: -4.60 eV per atom
# **Size of the total moment**: 0.00 μB per formula unit
# **Calculated volume**: 286 Å³ per cell
# **Energy above the most stable polymorph in this dataset**: 0.00 eV/f.u.

Entry 2:
# ZnGa2Re (GGA-PBE, relaxed)
data_ZnGa2Re
_cell_length_a 7.0803
_cell_length_b 7.0803
_cell_length_c 5.3183
_cell_angle_alpha 90.00
_cell_angle_beta 90.00
_cell_angle_gamma 90.00
_space_group_name_H-M_alt 'I -4 2 d'
_space_group_IT_number 122
_space_group_name_Hall 'I -4 2bw'
loop_
_atom_site_label
_atom_site_fract_x
_atom_site_fract_y
_atom_site_fract_z
Zn1 0.0000 0.0000 0.0000
Ga1 0.2441 0.2500 0.6250
Re1 0.0000 0.0000 0.5000
# **Total DFT energy (no corrections)**: -4.39 eV per atom
# **Size of the total moment**: 0.00 μB per formula unit
# **Calculated volume**: 267 Å³ per cell

Entry 3:
# PrEu2Ho (GGA-PBE, relaxed)
data_PrEu2Ho
_cell_length_a 5.9698
_cell_length_b 5.9698
_cell_length_c 4.1068
_cell_angle_alpha 90.00
_cell_angle_beta 90.00
_cell_angle_gamma 90.00
_space_group_name_H-M_alt 'P 4/m m m'
_space_group_IT_number 123
_space_group_name_Hall '-P 4 2'
loop_
_atom_site_label
_atom_site_fract_x
_atom_site_fract_y
_atom_site_fract_z
Pr1 0.0000 0.0000 0.0000
Eu1 0.0000 0.5000 0.5000
Ho1 0.5000 0.5000 0.0000
# **Total DFT energy (no corrections)**: -7.32 eV per atom
# **Size of the total moment**: 14.82 μB per formula unit
# **Calculated volume**: 146 Å³ per cell
# **Energy above the most stable polymorph in this dataset**: 0.25 eV/f.u.